(1)
The following is a DFT calculation (PBE-GGA) of MgPa3Bi4 after structural relaxation. Values from VASP.

Output
Formation energy from the elements ... 0.114 eV/atom
Total energy ... -0.205 Ha/atom

```
&SYSTEM
  ibrav = 0, nat = 16, ntyp = 3
/
ATOMIC_SPECIES
Bi 208.98 Bi.upf
Mg 24.30 Mg.upf
Pa 231.04 Pa.upf
ATOMIC_POSITIONS angstrom
Bi 3.620 7.711 4.754
Bi 1.430 11.150 0.000
Bi 0.478 5.186 1.593
Bi 3.620 7.711 1.569
Bi 0.478 5.186 4.730
Bi 2.282 1.846 0.000
Bi 5.423 11.050 3.161
Bi 4.571 1.746 3.161
Mg 2.508 10.569 3.161
Mg 5.650 2.327 0.000
Pa 0.479 8.454 4.588
Pa 3.620 4.442 1.427
Pa 3.620 4.442 4.896
Pa 4.527 10.363 0.000
Pa 1.386 2.533 3.161
Pa 0.479 8.454 1.734
CELL_PARAMETERS angstrom
6.283 0.000 0.000
0.000 12.896 0.000
0.000 0.000 6.322
```

(2)
The following is a DFT calculation (PBE-GGA) of MgPaBi after structural relaxation. Values from VASP.

Output
Polymorph energy (0 for the lowest one) ... 0.17 eV per formula unit
Formation energy from the elements ... 0.117 eV/atom
Total energy ... -0.179 Ha/atom

```
&SYSTEM
  ibrav = 0, nat = 3, ntyp = 3
/
ATOMIC_SPECIES
Mg 24.30 Mg.upf
Pa 231.04 Pa.upf
Bi 208.98 Bi.upf
ATOMIC_POSITIONS angstrom
Mg 2.352 -0.510 1.964
Pa -0.684 -0.706 3.623
Bi -0.148 -0.478 0.204
CELL_PARAMETERS angstrom
-0.894 -2.889 1.230
5.092 -1.272 0.714
-2.678 2.466 3.847
```

(3)
The following is a DFT calculation (PBE-GGA) of MgPaBi after structural relaxation. Values from VASP.

Output
Polymorph energy (0 for the lowest one) ... 0.19 eV per formula unit
Formation energy from the elements ... 0.126 eV/atom
Total energy ... -0.179 Ha/atom

```
&SYSTEM
  ibrav = 0, nat = 3, ntyp = 3
/
ATOMIC_SPECIES
Bi 208.98 Bi.upf
Mg 24.30 Mg.upf
Pa 231.04 Pa.upf
ATOMIC_POSITIONS angstrom
Bi -3.022 -1.383 -0.802
Mg -4.721 1.649 -1.443
Pa -7.665 0.239 -2.221
CELL_PARAMETERS angstrom
-0.094 -2.294 -2.313
-1.369 -2.072 2.110
-6.241 4.618 -2.031
```

(4)
The following is a DFT calculation (PBE-GGA) of MgPaBiPb after structural relaxation. Values from VASP.

Output
Polymorph energy (0 for the lowest one) ... 0.81 eV per formula unit
Formation energy from the elements ... 0.089 eV/atom
Total energy ... -0.168 Ha/atom

```
&SYSTEM
  ibrav = 0, nat = 4, ntyp = 4
/
ATOMIC_SPECIES
Pb 207.20 Pb.upf
Mg 24.30 Mg.upf
Pa 231.04 Pa.upf
Bi 208.98 Bi.upf
ATOMIC_POSITIONS angstrom
Pb 0.000 0.000 0.000
Mg 2.685 1.550 1.096
Pa 8.054 4.650 3.288
Bi 5.370 3.100 2.192
CELL_PARAMETERS angstrom
5.370 0.000 0.000
2.685 4.650 0.000
2.685 1.550 4.384
```